1.
ThHgAu | PBE | relaxed

abc: 5.190 5.190 6.440
angles: 90.00 90.00 120.01
Positions (direct):
Th: 0.333 0.167 0.750
Th: 0.667 0.833 0.250
Au: 0.333 0.167 0.250
Au: 0.667 0.833 0.750
Hg: 0.000 0.500 0.000
Hg: 0.000 0.500 0.500

Calculated values
* space group: No. 194
* E_form: -0.5268 eV/atom
* D(E_F): 3.190 states/eV per cell

2.
ThHgAu | PBE | relaxed

abc: 3.927 7.991 9.708
angles: 90.00 90.00 90.00
Positions (direct):
Th: 0.250 0.766 0.316
Th: 0.250 0.266 0.184
Th: 0.750 0.734 0.816
Th: 0.750 0.234 0.684
Au: 0.250 0.937 0.608
Au: 0.750 0.563 0.108
Au: 0.250 0.437 0.892
Au: 0.750 0.063 0.392
Hg: 0.750 0.938 0.100
Hg: 0.250 0.562 0.600
Hg: 0.250 0.062 0.900
Hg: 0.750 0.438 0.400

Calculated values
* space group: No. 62
* E_form: -0.4348 eV/atom
* D(E_F): 6.251 states/eV per cell

3.
Th2HgAu | PBE | relaxed

abc: 5.339 5.339 5.339
angles: 60.00 60.00 60.00
Positions (direct):
Hg: 0.000 0.000 0.000
Th: 0.750 0.750 0.750
Th: 0.250 0.250 0.250
Au: 0.500 0.500 0.500

Calculated values
* space group: No. 225
* E_form: -0.3462 eV/atom
* D(E_F): 4.439 states/eV per cell

4.
Th4Hg3Au | PBE | relaxed

abc: 3.764 3.764 15.498
angles: 90.00 90.00 90.00
Positions (direct):
Hg: 0.500 0.500 0.754
Hg: 0.500 0.500 0.246
Hg: 0.500 0.500 0.500
Th: 0.000 0.000 0.883
Th: 0.000 0.000 0.372
Th: 0.000 0.000 0.628
Th: 0.000 0.000 0.117
Au: 0.500 0.500 0.000

Calculated values
* space group: No. 123
* E_form: -0.2846 eV/atom
* D(E_F): 7.536 states/eV per cell

5.
Th3Hg3Au2 | PBE | relaxed

abc: 3.815 7.995 7.995
angles: 120.00 90.00 90.00
Positions (direct):
Th: 0.500 0.000 0.601
Th: 0.500 0.399 0.399
Th: 0.500 0.601 0.000
Hg: 0.000 0.763 0.763
Hg: 0.000 0.000 0.237
Hg: 0.000 0.237 0.000
Au: 0.000 0.333 0.667
Au: 0.000 0.667 0.333

Calculated values
* space group: No. 189
* E_form: -0.4179 eV/atom
* D(E_F): 8.795 states/eV per cell

6.
Th2HgAu4 | PBE | relaxed

abc: 5.174 5.174 8.138
angles: 71.47 71.47 60.00
Positions (direct):
Au: 0.604 0.604 0.189
Au: 0.127 0.127 0.619
Au: 0.873 0.873 0.381
Au: 0.396 0.396 0.811
Th: 0.258 0.258 0.226
Th: 0.742 0.742 0.774
Hg: 0.000 0.000 0.000

Calculated values
* space group: No. 166
* E_form: -0.4757 eV/atom
* D(E_F): 4.695 states/eV per cell

7.
Th2Hg3Au2 | PBE | relaxed

abc: 3.454 4.773 10.868
angles: 102.68 90.00 90.00
Positions (direct):
Hg: 0.500 0.428 0.857
Hg: 0.000 0.000 0.000
Hg: 0.500 0.572 0.143
Th: 0.000 0.840 0.681
Th: 0.000 0.160 0.319
Au: 0.500 0.287 0.575
Au: 0.500 0.713 0.425

Calculated values
* space group: No. 65
* E_form: -0.3745 eV/atom
* D(E_F): 5.589 states/eV per cell

8.
ThHgAu | PBE | relaxed

abc: 4.881 4.881 4.881
angles: 60.00 60.00 60.00
Positions (direct):
Au: 0.250 0.250 0.250
Th: 0.500 0.500 0.500
Hg: 0.000 0.000 0.000

Calculated values
* space group: No. 216
* E_form: -0.4180 eV/atom
* D(E_F): 4.419 states/eV per cell

9.
ThHgAu | PBE | relaxed

abc: 3.387 4.958 4.958
angles: 120.00 90.00 90.00
Positions (direct):
Th: 0.667 0.667 0.333
Au: 0.167 0.333 0.667
Hg: 0.166 0.000 0.000

Calculated values
* space group: No. 187
* E_form: -0.4948 eV/atom
* D(E_F): 2.365 states/eV per cell

10.
Th3HgAu2 | PBE | relaxed

abc: 3.481 3.481 12.932
angles: 90.00 90.00 90.00
Positions (direct):
Th: 0.000 0.000 0.679
Th: 0.000 0.000 0.321
Th: 0.000 0.000 0.000
Au: 0.500 0.500 0.163
Au: 0.500 0.500 0.837
Hg: 0.500 0.500 0.500

Calculated values
* space group: No. 123
* E_form: -0.4439 eV/atom
* D(E_F): 7.225 states/eV per cell

11.
Th3Hg2Au4 | PBE | relaxed

abc: 4.916 5.991 9.121
angles: 117.03 90.00 114.23
Positions (direct):
Au: 0.276 0.552 0.945
Au: 0.724 0.448 0.055
Au: 0.941 0.883 0.607
Au: 0.059 0.117 0.393
Hg: 0.382 0.764 0.716
Hg: 0.618 0.236 0.284
Th: 0.000 0.000 0.000
Th: 0.337 0.674 0.327
Th: 0.663 0.326 0.673

Calculated values
* space group: No. 12
* E_form: -0.5716 eV/atom
* D(E_F): 6.101 states/eV per cell

12.
Th2HgAu | PBE | relaxed

abc: 4.531 4.531 7.364
angles: 72.08 72.08 60.00
Positions (direct):
Th: 0.073 0.073 0.780
Th: 0.261 0.261 0.216
Hg: 0.500 0.500 0.499
Au: 0.665 0.665 0.005

Calculated values
* space group: No. 160
* E_form: -0.1967 eV/atom
* D(E_F): 6.202 states/eV per cell

13.
Th6Hg3Au | PBE | relaxed

abc: 8.532 8.532 8.532
angles: 89.27 89.27 89.27
Positions (direct):
Th: 0.783 0.740 0.098
Th: 0.098 0.783 0.740
Th: 0.575 0.837 0.476
Th: 0.740 0.098 0.783
Th: 0.163 0.524 0.425
Th: 0.837 0.476 0.575
Th: 0.524 0.425 0.163
Th: 0.425 0.163 0.524
Th: 0.476 0.575 0.837
Th: 0.260 0.902 0.217
Th: 0.902 0.217 0.260
Th: 0.217 0.260 0.902
Hg: 0.419 0.938 0.850
Hg: 0.062 0.150 0.581
Hg: 0.850 0.419 0.938
Hg: 0.938 0.850 0.419
Hg: 0.150 0.581 0.062
Hg: 0.581 0.062 0.150
Au: 0.500 0.500 0.500
Au: 0.000 0.000 0.000

Calculated values
* space group: No. 148
* E_form: 0.0277 eV/atom
* D(E_F): 27.378 states/eV per cell

14.
Th6HgAu5 | PBE | relaxed

abc: 5.271 9.133 9.133
angles: 119.64 106.77 106.77
Positions (direct):
Th: 0.240 0.740 0.740
Th: 0.746 0.575 0.918
Th: 0.254 0.425 0.082
Th: 0.254 0.082 0.425
Th: 0.760 0.260 0.260
Th: 0.746 0.918 0.575
Au: 0.000 0.334 0.666
Au: 0.500 0.500 0.500
Au: 0.500 0.158 0.842
Au: 0.500 0.842 0.158
Au: 0.000 0.666 0.334
Hg: 0.000 0.000 0.000

Calculated values
* space group: No. 71
* E_form: -0.4934 eV/atom
* D(E_F): 13.531 states/eV per cell

15.
Th2HgAu | PBE | relaxed

abc: 3.718 3.718 9.796
angles: 79.06 79.06 60.00
Positions (direct):
Th: 0.255 0.255 0.236
Th: 0.745 0.745 0.764
Au: 0.000 0.000 0.000
Hg: 0.500 0.500 0.500

Calculated values
* space group: No. 166
* E_form: -0.2346 eV/atom
* D(E_F): 5.001 states/eV per cell

16.
Th5Hg4Au | PBE | relaxed

abc: 3.458 3.458 22.561
angles: 90.00 90.00 90.00
Positions (direct):
Th: 0.500 0.500 0.093
Th: 0.500 0.500 0.907
Th: 0.500 0.500 0.703
Th: 0.500 0.500 0.500
Th: 0.500 0.500 0.297
Hg: 0.000 0.000 0.804
Hg: 0.000 0.000 0.196
Hg: 0.000 0.000 0.602
Hg: 0.000 0.000 0.398
Au: 0.000 0.000 0.000

Calculated values
* space group: No. 123
* E_form: -0.2915 eV/atom
* D(E_F): 12.637 states/eV per cell

17.
Th2HgAu | PBE | relaxed

abc: 3.753 3.753 7.631
angles: 90.00 90.00 90.00
Positions (direct):
Hg: 0.500 0.500 0.500
Th: 0.000 0.000 0.761
Th: 0.000 0.000 0.239
Au: 0.500 0.500 0.000

Calculated values
* space group: No. 123
* E_form: -0.3725 eV/atom
* D(E_F): 4.938 states/eV per cell

18.
Th2Hg3Au | PBE | relaxed

abc: 3.401 5.015 8.697
angles: 90.00 90.00 90.00
Positions (direct):
Hg: 0.500 0.500 0.665
Hg: 0.500 0.000 0.167
Hg: 0.500 0.000 0.832
Th: 0.000 0.500 0.011
Th: 0.000 0.000 0.490
Au: 0.500 0.500 0.335

Calculated values
* space group: No. 25
* E_form: -0.3842 eV/atom
* D(E_F): 4.190 states/eV per cell

19.
Th3HgAu5 | PBE | relaxed

abc: 6.306 8.916 8.916
angles: 120.00 90.00 90.00
Positions (direct):
Th: 0.250 0.000 0.350
Th: 0.750 0.650 0.000
Th: 0.250 0.650 0.650
Th: 0.750 0.000 0.650
Th: 0.750 0.350 0.350
Th: 0.250 0.350 0.000
Au: 0.750 0.318 0.000
Au: 0.250 0.682 0.000
Au: 0.250 0.000 0.682
Au: 0.750 0.000 0.318
Au: 0.000 0.667 0.333
Au: 0.750 0.682 0.682
Au: 0.000 0.333 0.667
Au: 0.250 0.318 0.318
Au: 0.500 0.667 0.333
Au: 0.500 0.333 0.667
Hg: 0.000 0.000 0.000
Hg: 0.500 0.000 0.000

Calculated values
* space group: No. 193
* E_form: -0.6145 eV/atom
* D(E_F): 14.920 states/eV per cell

20.
ThHgAu | PBE | relaxed

abc: 3.708 3.708 5.971
angles: 108.09 108.09 90.00
Positions (direct):
Th: 0.943 0.943 0.886
Au: 0.278 0.278 0.556
Hg: 0.629 0.629 0.258

Calculated values
* space group: No. 107
* E_form: -0.3830 eV/atom
* D(E_F): 2.264 states/eV per cell

21.
Th3Hg2Au | PBE | relaxed

abc: 3.754 3.754 11.610
angles: 90.00 90.00 90.00
Positions (direct):
Au: 0.500 0.500 0.500
Th: 0.000 0.000 0.000
Th: 0.000 0.000 0.343
Th: 0.000 0.000 0.657
Hg: 0.500 0.500 0.829
Hg: 0.500 0.500 0.171

Calculated values
* space group: No. 123
* E_form: -0.3129 eV/atom
* D(E_F): 6.545 states/eV per cell

22.
TmThHgAu | PBE | relaxed

abc: 5.245 5.245 5.245
angles: 60.00 60.00 60.00
Positions (direct):
Hg: 0.500 0.500 0.500
Tm: 0.250 0.250 0.250
Th: 0.750 0.750 0.750
Au: 0.000 0.000 0.000

Calculated values
* space group: No. 216
* E_form: -0.4810 eV/atom
* D(E_F): 4.203 states/eV per cell

23.
TmThHgAu | PBE | relaxed

abc: 3.611 3.611 7.695
angles: 90.00 90.00 90.00
Positions (direct):
Th: 0.000 0.000 0.848
Tm: 0.000 0.000 0.372
Hg: 0.500 0.500 0.129
Au: 0.500 0.500 0.578

Calculated values
* space group: No. 99
* E_form: -0.5404 eV/atom
* D(E_F): 3.598 states/eV per cell

24.
ThZnHgAu | PBE | relaxed

abc: 5.010 5.010 5.010
angles: 60.00 60.00 60.00
Positions (direct):
Zn: 0.000 0.000 0.000
Hg: 0.250 0.250 0.250
Au: 0.500 0.500 0.500
Th: 0.750 0.750 0.750

Calculated values
* space group: No. 216
* E_form: -0.3708 eV/atom
* D(E_F): 1.661 states/eV per cell

25.
ThZrHgAu | PBE | relaxed

abc: 5.165 5.165 5.165
angles: 60.00 60.00 60.00
Positions (direct):
Zr: 0.750 0.750 0.750
Au: 0.000 0.000 0.000
Th: 0.250 0.250 0.250
Hg: 0.500 0.500 0.500

Calculated values
* space group: No. 216
* E_form: -0.2440 eV/atom
* D(E_F): 4.571 states/eV per cell

26.
TiHg2Au | PBE | relaxed

abc: 3.038 3.038 10.793
angles: 81.91 81.91 60.00
Positions (direct):
Hg: 0.087 0.087 0.739
Hg: 0.913 0.913 0.261
Ti: 0.000 0.000 0.000
Au: 0.500 0.500 0.500

Calculated values
* space group: No. 166
* E_form: 0.3455 eV/atom
* D(E_F): 4.347 states/eV per cell